# 1
Here is crystalline Cr2OsSe at its relaxed geometry from the Alexandria database. Energies are from GGA-PBEsol.

Properties
Crystal system: monoclinic
E_tot, eV per atom: -8.83
Volume, A^3/atom: 13.321

Cell: 8.6291 2.8413 4.3806 Å, 90.00 97.12 90.00°
Space group Cm (No. 8)
Asymmetric unit:
Cr (0.0000, 0.0000, 0.0000) (multiplicity 2)
Cr (0.2312, 0.5000, 0.2827) (multiplicity 2)
Os (0.4694, 0.0000, 0.4682) (multiplicity 2)
Se (0.2470, 0.0000, 0.8139) (multiplicity 2)



# 2
Here is crystalline Cr2OsSe at its relaxed geometry from the Alexandria database. Energies are from GGA-PBEsol.

Properties
Crystal system: orthorhombic
E_tot, eV per atom: -8.59
Volume, A^3/atom: 13.959

Cell: 2.8974 4.4281 8.7037 Å, 90.00 90.00 90.00°
Space group Cmm2 (No. 35)
Asymmetric unit:
Cr (0.0000, 0.0000, 0.0000) (multiplicity 2)
Cr (0.0000, 0.5000, 0.2071) (multiplicity 2)
Os (0.0000, 0.0000, 0.4369) (multiplicity 2)
Se (0.0000, 0.5000, 0.7634) (multiplicity 2)



# 3
Here is crystalline CrSi2Os at its relaxed geometry from the Alexandria database. Energies are from GGA-PBEsol.

Properties
Crystal system: monoclinic
E_tot, eV per atom: -8.50
Volume, A^3/atom: 12.803

Cell: 5.4831 7.6452 2.7452 Å, 90.00 117.12 90.00°
Space group C2/m (No. 12)
Asymmetric unit:
Cr (0.0000, 0.0000, 0.0000) (multiplicity 2)
Si (0.2500, 0.2500, 0.5000) (multiplicity 4)
Os (0.0000, 0.5000, 0.0000) (multiplicity 2)



# 4
Here is crystalline CrSiOs2 at its relaxed geometry from the Alexandria database. Energies are from GGA-PBEsol.

Properties
Crystal system: tetragonal
E_tot, eV per atom: -10.20
Volume, A^3/atom: 12.632

Cell: 2.7985 2.7985 6.4519 Å, 90.00 90.00 90.00°
Space group P4mm (No. 99)
Asymmetric unit:
Cr (0.0000, 0.0000, 0.0000) (multiplicity 1)
Si (0.5000, 0.5000, 0.7840) (multiplicity 1)
Os (0.0000, 0.0000, 0.5473) (multiplicity 1)
Os (0.5000, 0.5000, 0.2571) (multiplicity 1)



# 5
Here is crystalline CrSiOs2 at its relaxed geometry from the Alexandria database. Energies are from GGA-PBEsol.

Properties
Crystal system: tetragonal
E_tot, eV per atom: -10.26
Volume, A^3/atom: 12.831

Cell: 4.1894 4.1894 2.9244 Å, 90.00 90.00 90.00°
Space group P4/mmm (No. 123)
Asymmetric unit:
Cr (0.0000, 0.0000, 0.0000) (multiplicity 1)
Si (0.5000, 0.5000, 0.0000) (multiplicity 1)
Os (0.0000, 0.5000, 0.5000) (multiplicity 2)



# 6
Here is crystalline SrCrOs at its relaxed geometry from the Alexandria database. Energies are from GGA-PBEsol.

Properties
Formation energy from the elements, eV/atom: 0.65
Crystal system: tetragonal
Volume, A^3/atom: 20.175

Cell: 3.2614 3.2614 11.3809 Å, 90.00 90.00 90.00°
Space group I4mm (No. 107)
Asymmetric unit:
Sr (0.0000, 0.0000, 0.0000) (multiplicity 2)
Cr (0.0000, 0.0000, 0.7257) (multiplicity 2)
Os (0.0000, 0.0000, 0.2789) (multiplicity 2)



# 7
Here is crystalline SrCrOs2 at its relaxed geometry from the Alexandria database. Energies are from GGA-PBEsol.

Properties
Formation energy from the elements, eV/atom: 0.74
Crystal system: orthorhombic
Polymorph energy (0 for the lowest one), meV per atom: 0
Volume, A^3/atom: 18.086

Cell: 2.7755 3.6435 7.1540 Å, 90.00 90.00 90.00°
Space group Pmm2 (No. 25)
Asymmetric unit:
Sr (0.0000, 0.0000, 0.0000) (multiplicity 1)
Cr (0.5000, 0.5000, 0.3489) (multiplicity 1)
Os (0.0000, 0.0000, 0.4882) (multiplicity 1)
Os (0.5000, 0.5000, 0.6842) (multiplicity 1)



# 8
Here is crystalline SrCrOs2 at its relaxed geometry from the Alexandria database. Energies are from GGA-PBEsol.

Properties
Formation energy from the elements, eV/atom: 0.97
Crystal system: orthorhombic
Polymorph energy (0 for the lowest one), meV per atom: 227
Volume, A^3/atom: 17.651

Cell: 2.8469 4.9851 9.9497 Å, 90.00 90.00 90.00°
Space group Imm2 (No. 44)
Asymmetric unit:
Sr (0.0000, 0.0000, 0.0000) (multiplicity 2)
Cr (0.0000, 0.5000, 0.7881) (multiplicity 2)
Os (0.0000, 0.0000, 0.4999) (multiplicity 2)
Os (0.0000, 0.5000, 0.2142) (multiplicity 2)



| no. | total magnetization (μB per atom) | theoretical density (g/cm3) |
| --- | --- | --- |
| 1 | 0.02 | 11.63 |
| 2 | 0.00 | 11.10 |
| 3 | 0.00 | 9.68 |
| 4 | 0.00 | 15.13 |
| 5 | 0.49 | 14.90 |
| 6 | 0.00 | 9.05 |
| 7 | 0.00 | 11.94 |
| 8 | 0.56 | 12.23 |